(1)
Computed, not measured: TaTcTe2 at its PBEsol-relaxed geometry at the SCAN level of DFT.

## Properties
Theoretical density = 10156 kg/m3
DOS at the Fermi energy = 3.4 states/eV/f.u.
Energy = -173.84 eV/f.u.
Symmetry = I-42d
Crystal system = tetragonal

a b c (Å): 9.0802 9.0802 9.0802
angles (deg): 151.08 151.08 41.36
Closest atoms and distances in Å follow each position.
Positions (direct):
1 Ta 0.0000 0.0000 0.0000  4 Te 2.69
2 Ta 0.7500 0.2500 0.5000  4 Te 2.69
3 Tc 0.2500 0.7500 0.5000  4 Te 2.63
4 Tc 0.5000 0.5000 0.0000  4 Te 2.63
5 Te 0.1388 0.6250 0.0138  2 Tc 2.63, 2 Ta 2.69
6 Te 0.3750 0.3888 0.5138  2 Tc 2.63, 2 Ta 2.69
7 Te 0.6112 0.1250 0.9862  2 Tc 2.63, 2 Ta 2.69
8 Te 0.8750 0.8612 0.4862  2 Tc 2.63, 2 Ta 2.69

---

(2)
Computed, not measured: Ta2TiTc at its PBEsol-relaxed geometry at the SCAN level of DFT.

## Properties
Theoretical density = 13154 kg/m3
DOS at the Fermi energy = 5.2 states/eV/f.u.
Symmetry = Fm-3m
Crystal system = cubic
Energy relative to the elements = -1.0 eV per formula unit

a b c (Å): 4.4921 4.4921 4.4921
angles (deg): 60.00 60.00 60.00
Closest atoms and distances in Å follow each position.
Positions (direct):
1 Ta 0.2500 0.2500 0.2500  4 Tc 2.75, 4 Ti 2.75
2 Ta 0.7500 0.7500 0.7500  4 Tc 2.75, 4 Ti 2.75
3 Ti 0.0000 0.0000 0.0000  8 Ta 2.75
4 Tc 0.5000 0.5000 0.5000  8 Ta 2.75

---

(3)
Computed, not measured: TaTlTc3 at its PBEsol-relaxed geometry at the SCAN level of DFT.

## Properties
Theoretical density = 10617 kg/m3
DOS at the Fermi energy = 6.1 states/eV/f.u.
Symmetry = Pm-3m
Crystal system = cubic
Energy relative to the elements = 13.8 eV per formula unit

a b c (Å): 4.7363 4.7363 4.7363
angles (deg): 90.00 90.00 90.00
Closest atoms and distances in Å follow each position.
Positions (direct):
1 Ta 0.0000 0.0000 0.0000  12 Tc 3.35
2 Tl 0.5000 0.5000 0.5000  6 Tc 2.37
3 Tc 0.0000 0.5000 0.5000  2 Tl 2.37
4 Tc 0.5000 0.0000 0.5000  2 Tl 2.37
5 Tc 0.5000 0.5000 0.0000  2 Tl 2.37

---

(4)
Computed, not measured: TaTlTc2 at its PBEsol-relaxed geometry at the SCAN level of DFT.

## Properties
Offset from the most stable computed form = 0 meV per atom
Theoretical density = 14358 kg/m3
DOS at the Fermi energy = 3.2 states/eV/f.u.
Symmetry = C2/m
Crystal system = monoclinic
Energy relative to the elements = 1.3 eV per formula unit

a b c (Å): 4.8091 4.8091 4.9916
angles (deg): 103.89 103.89 37.01
Closest atoms and distances in Å follow each position.
Positions (direct):
1 Ta 0.0000 0.0000 0.0000  6 Tc 2.64-2.90, 4 Tl 2.93
2 Tl 0.5000 0.5000 0.5000  6 Tc 2.84-2.90, 4 Ta 2.93, 2 Tl 3.05
3 Tc 0.2648 0.2648 0.7790  3 Ta 2.64-2.90, 2 Tc 2.75, 3 Tl 2.84-2.90
4 Tc 0.7352 0.7352 0.2210  3 Ta 2.64-2.90, 2 Tc 2.75, 3 Tl 2.84-2.90

---

(5)
Computed, not measured: TaTl2Tc at its PBEsol-relaxed geometry at the SCAN level of DFT.

## Properties
Offset from the most stable computed form = 66 meV per atom
Theoretical density = 15370 kg/m3
DOS at the Fermi energy = 3.2 states/eV/f.u.
Symmetry = I-4m2
Crystal system = tetragonal
Energy relative to the elements = 3.0 eV per formula unit

a b c (Å): 5.1948 5.1948 5.1948
angles (deg): 132.70 132.70 69.12
Closest atoms and distances in Å follow each position.
Positions (direct):
1 Ta 0.0000 0.0000 0.0000  8 Tl 2.95-2.99, 4 Tc 2.99
2 Tl 0.2500 0.7500 0.5000  4 Tc 2.95, 4 Tl 2.99, 4 Ta 2.99
3 Tl 0.5000 0.5000 0.0000  4 Ta 2.95, 4 Tl 2.99, 4 Tc 2.99
4 Tc 0.7500 0.2500 0.5000  8 Tl 2.95-2.99, 4 Ta 2.99

---

(6)
Computed, not measured: TaTlTc2 at its PBEsol-relaxed geometry at the SCAN level of DFT.

## Properties
Offset from the most stable computed form = 267 meV per atom
Theoretical density = 14538 kg/m3
DOS at the Fermi energy = 3.6 states/eV/f.u.
Symmetry = F-43m
Crystal system = cubic
Energy relative to the elements = 2.4 eV per formula unit

a b c (Å): 4.5452 4.5452 4.5452
angles (deg): 60.00 60.00 60.00
Closest atoms and distances in Å follow each position.
Positions (direct):
1 Ta 0.0000 0.0000 0.0000  4 Tl 2.78, 4 Tc 2.78
2 Tl 0.7500 0.7500 0.7500  4 Tc 2.78, 4 Ta 2.78
3 Tc 0.2500 0.2500 0.2500  4 Ta 2.78, 4 Tc 2.78
4 Tc 0.5000 0.5000 0.5000  4 Tl 2.78, 4 Tc 2.78

---

(7)
Computed, not measured: TaTl2Tc at its PBEsol-relaxed geometry at the SCAN level of DFT.

## Properties
Offset from the most stable computed form = 0 meV per atom
Theoretical density = 15089 kg/m3
DOS at the Fermi energy = 2.2 states/eV/f.u.
Symmetry = Immm
Crystal system = orthorhombic
Energy relative to the elements = 2.7 eV per formula unit

a b c (Å): 5.6035 5.6035 5.6035
angles (deg): 146.80 127.42 63.62
Closest atoms and distances in Å follow each position.
Positions (direct):
1 Ta 0.0000 0.0000 0.0000  4 Tl 2.95, 4 Tc 2.95, 2 Ta 3.20
2 Tl 0.2600 0.7600 0.5000  2 Tc 2.79, 2 Ta 2.95, 4 Tl 2.96
3 Tl 0.7400 0.2400 0.5000  2 Tc 2.79, 2 Ta 2.95, 4 Tl 2.96
4 Tc 0.5000 0.5000 0.0000  4 Tl 2.79, 4 Ta 2.95

---

(8)
Computed, not measured: TaTc2W at its PBEsol-relaxed geometry at the SCAN level of DFT.

## Properties
Theoretical density = 15273 kg/m3
DOS at the Fermi energy = 2.2 states/eV/f.u.
Symmetry = P4/mmm
Crystal system = tetragonal
Energy relative to the elements = -1.1 eV per formula unit

a b c (Å): 3.1202 3.1202 6.2625
angles (deg): 90.00 90.00 90.00
Closest atoms and distances in Å follow each position.
Positions (direct):
1 Ta 0.0000 0.0000 0.0000  8 Tc 2.71
2 Tc 0.5000 0.5000 0.2520  4 W 2.70, 4 Ta 2.71
3 Tc 0.5000 0.5000 0.7480  4 W 2.70, 4 Ta 2.71
4 W 0.0000 0.0000 0.5000  8 Tc 2.70

---

(9)
Computed, not measured: TaTc2W at its PBEsol-relaxed geometry at the SCAN level of DFT.

## Properties
Theoretical density = 15202 kg/m3
DOS at the Fermi energy = 3.8 states/eV/f.u.
Symmetry = Cmm2
Crystal system = orthorhombic
Energy relative to the elements = 0.0 eV per formula unit

a b c (Å): 2.7278 2.7278 8.7564
angles (deg): 90.00 90.00 109.92
Closest atoms and distances in Å follow each position.
Positions (direct):
1 Ta 0.0000 0.0000 0.0000  2 Tc 2.70, 4 Ta 2.73, 2 W 2.78
2 Tc 0.0000 0.0000 0.4927  6 Tc 2.64-2.73, 2 W 2.65
3 Tc 0.5000 0.5000 0.2506  6 Tc 2.64-2.73, 2 Ta 2.70
4 W 0.5000 0.5000 0.7371  2 Tc 2.65, 4 W 2.73, 2 Ta 2.78

---

(10)
Computed, not measured: Y2TaTc at its PBEsol-relaxed geometry at the SCAN level of DFT.

## Properties
Offset from the most stable computed form = 0 meV per atom
Theoretical density = 9316 kg/m3
DOS at the Fermi energy = 5.0 states/eV/f.u.
Symmetry = I4/mmm
Crystal system = tetragonal
Energy relative to the elements = 1.8 eV per formula unit

a b c (Å): 5.7356 5.7356 5.7356
angles (deg): 138.68 138.68 59.86
Closest atoms and distances in Å follow each position.
Positions (direct):
1 Y 0.2500 0.7500 0.5000  4 Y 2.86, 4 Ta 3.20, 4 Tc 3.20
2 Y 0.7500 0.2500 0.5000  4 Y 2.86, 4 Ta 3.20, 4 Tc 3.20
3 Ta 0.0000 0.0000 0.0000  4 Tc 2.86, 8 Y 3.20
4 Tc 0.5000 0.5000 0.0000  4 Ta 2.86, 8 Y 3.20

---

(11)
Computed, not measured: YTaTc at its PBEsol-relaxed geometry at the SCAN level of DFT.

## Properties
Theoretical density = 10634 kg/m3
DOS at the Fermi energy = 2.8 states/eV/f.u.
Symmetry = Fmm2
Crystal system = orthorhombic
Energy relative to the elements = 0.5 eV per formula unit

a b c (Å): 7.3764 7.1282 3.0051
angles (deg): 82.72 73.45 23.84
Closest atoms and distances in Å follow each position.
Positions (direct):
1 Y 0.0000 0.0000 0.0000  2 Tc 2.85, 4 Y 3.01, 2 Ta 3.19
2 Ta 0.3035 0.3035 0.6965  2 Tc 2.51
3 Tc 0.6674 0.6674 0.3326  2 Ta 2.51

---

(12)
Computed, not measured: Y2TaTc at its PBEsol-relaxed geometry at the SCAN level of DFT.

## Properties
Offset from the most stable computed form = 112 meV per atom
Theoretical density = 9123 kg/m3
DOS at the Fermi energy = 6.5 states/eV/f.u.
Symmetry = P4/mmm
Crystal system = tetragonal
Energy relative to the elements = 2.3 eV per formula unit

a b c (Å): 4.9511 4.9511 3.3915
angles (deg): 90.00 90.00 90.00
Closest atoms and distances in Å follow each position.
Positions (direct):
1 Y 0.0000 0.5000 0.0000  4 Ta 3.00, 4 Tc 3.00
2 Y 0.5000 0.0000 0.0000  4 Ta 3.00, 4 Tc 3.00
3 Ta 0.0000 0.0000 0.5000  8 Y 3.00
4 Tc 0.5000 0.5000 0.5000  8 Y 3.00

---

(13)
Computed, not measured: Ta2ZnTc at its PBEsol-relaxed geometry at the SCAN level of DFT.

## Properties
Theoretical density = 13899 kg/m3
DOS at the Fermi energy = 2.6 states/eV/f.u.
Symmetry = C2/m
Crystal system = monoclinic
Energy relative to the elements = -0.2 eV per formula unit

a b c (Å): 5.1792 5.1792 2.7191
angles (deg): 99.11 99.11 115.68
Closest atoms and distances in Å follow each position.
Positions (direct):
1 Ta 0.0000 0.5000 0.0000  4 Ta 2.72-2.76, 2 Tc 2.73, 2 Zn 2.73
2 Ta 0.5000 0.0000 0.0000  4 Ta 2.72-2.76, 2 Tc 2.73, 2 Zn 2.73
3 Zn 0.0000 0.0000 0.5000  2 Zn 2.72, 4 Ta 2.73, 2 Tc 2.76
4 Tc 0.5000 0.5000 0.5000  2 Tc 2.72, 4 Ta 2.73, 2 Zn 2.76

---

(14)
Computed, not measured: TaZn2Tc at its PBEsol-relaxed geometry at the SCAN level of DFT.

## Properties
Offset from the most stable computed form = 0 meV per atom
Theoretical density = 11367 kg/m3
DOS at the Fermi energy = 1.9 states/eV/f.u.
Symmetry = Cmm2
Crystal system = orthorhombic
Energy relative to the elements = 0.0 eV per formula unit

a b c (Å): 2.7187 2.7187 8.5349
angles (deg): 90.00 90.00 108.39
Closest atoms and distances in Å follow each position.
Positions (direct):
1 Ta 0.0000 0.0000 0.0000  2 Tc 2.67, 4 Ta 2.72, 2 Zn 2.74
2 Zn 0.0000 0.0000 0.5040  6 Zn 2.61-2.72, 2 Tc 2.62
3 Zn 0.5000 0.5000 0.2616  6 Zn 2.61-2.72, 2 Ta 2.74
4 Tc 0.5000 0.5000 0.7486  2 Zn 2.62, 2 Ta 2.67, 4 Tc 2.72

---

(15)
Computed, not measured: TaZn2Tc at its PBEsol-relaxed geometry at the SCAN level of DFT.

## Properties
Offset from the most stable computed form = 23 meV per atom
Theoretical density = 11655 kg/m3
DOS at the Fermi energy = 1.7 states/eV/f.u.
Symmetry = Cmmm
Crystal system = orthorhombic
Energy relative to the elements = 0.1 eV per formula unit

a b c (Å): 4.9494 4.9494 2.6516
angles (deg): 90.00 90.00 116.00
Closest atoms and distances in Å follow each position.
Positions (direct):
1 Ta 0.0000 0.0000 0.0000  2 Tc 2.62, 2 Ta 2.65, 8 Zn 2.81
2 Zn 0.0000 0.5000 0.5000  4 Zn 2.62-2.65, 4 Tc 2.81, 4 Ta 2.81
3 Zn 0.5000 0.0000 0.5000  4 Zn 2.62-2.65, 4 Tc 2.81, 4 Ta 2.81
4 Tc 0.5000 0.5000 0.0000  2 Ta 2.62, 2 Tc 2.65, 8 Zn 2.81